A relaxed structure of Sm5Ag4Pb, computed with PBE-GGA.

Summary:
Energy relative to the elements   -0.32 eV/atom
DOS(E_F)   0.815 states/eV per atom
Total moment   0.00 μB/atom

Cell: 3.651 3.651 19.762 Å, 90.00 90.00 90.00°
Element x y z (fractional)
Sm 0.500 0.500 0.113
Sm 0.500 0.500 0.307
Sm 0.500 0.500 0.500
Sm 0.500 0.500 0.693
Sm 0.500 0.500 0.887
Ag 0.000 0.000 0.212
Ag 0.000 0.000 0.402
Ag 0.000 0.000 0.598
Ag 0.000 0.000 0.788
Pb 0.000 0.000 0.000